# HfAl2As, optimized geometry, DFT PBE
# Total energy in eV/cell: -87.8
data_HfAl2As
_chemical_formula_sum 'Hf4 Al8 As4'
_cell_length_a 6.662
_cell_length_b 6.662
_cell_length_c 6.662
_cell_angle_alpha 90.00
_cell_angle_beta 90.00
_cell_angle_gamma 90.00
_space_group_name_H-M_alt 'F -4 3 m'
_space_group_IT_number 216
_space_group_name_Hall 'F -4 2 3'
loop_
_atom_site_label
_atom_site_fract_x
_atom_site_fract_y
_atom_site_fract_z
Hf1 0.000 0.000 0.000
Al1 0.000 0.000 0.500
Al2 0.250 0.250 0.250
As1 0.250 0.250 0.750